[1]
# RbAgSeO6

A geometry-optimized RbAgSeO6 structure (PBE-GGA, the Alexandria database).

```
9
Lattice="-4.660 0.433 -2.224 -0.477 -0.501 -5.136 -0.920 -6.300 0.700" Properties=species:S:1:pos:R:3 pbc="T T T"
Ag -3.885 -3.195 -4.556
O -1.079 -4.487 -2.716
O -3.596 -4.120 -2.716
O -2.303 -4.065 -0.526
O -2.265 -2.246 -3.663
O -0.655 -2.262 -1.693
O -3.136 -1.856 -1.304
Rb -5.580 -5.867 -1.524
Se -2.172 -3.173 -2.103
```

- formation energy (no corrections) (eV per atom) = -0.4597
- space-group type = No. 149

---

[2]
# KRbBa

A geometry-optimized KRbBa structure (PBE-GGA, the Alexandria database).

```
3
Lattice="4.441 0.000 0.000 0.000 4.441 0.000 -2.220 -2.220 11.180" Properties=species:S:1:pos:R:3 pbc="T T T"
Ba 0.000 0.000 0.088
K 2.220 2.220 3.589
Rb 0.000 0.000 7.503
```

- excess energy over the best structure of this formula in the dataset (meV/atom) = 15
- space-group type = No. 107
- DOS(E_F) (states/eV/cell) = 2.60

---

[3]
# YSc2In2

A geometry-optimized YSc2In2 structure (PBE-GGA, the Alexandria database).

```
5
Lattice="4.558 0.000 0.000 0.000 4.558 0.000 2.279 2.279 6.539" Properties=species:S:1:pos:R:3 pbc="T T T"
Y 0.000 0.000 0.000
In 2.279 4.558 3.270
In 4.558 2.279 3.270
Sc 4.558 4.558 5.119
Sc 2.279 2.279 1.420
```

- excess energy over the best structure of this formula in the dataset (meV/atom) = 343
- space-group type = No. 139
- DOS(E_F) (states/eV/cell) = 4.48

---

[4]
# CoNiRh2

A geometry-optimized CoNiRh2 structure (PBE-GGA, the Alexandria database).

```
4
Lattice="-5.774 5.452 3.149 -6.814 5.102 0.726 -7.375 3.382 2.675" Properties=species:S:1:pos:R:3 pbc="T T T"
Ni -15.045 10.503 4.937
Rh -0.052 0.036 0.017
Rh -4.920 3.435 1.615
Co -9.927 6.930 3.258
```

- excess energy over the best structure of this formula in the dataset (meV/atom) = 50
- space-group type = No. 160
- DOS(E_F) (states/eV/cell) = 6.06

---

[5]
# RbHoGe2Br8

A geometry-optimized RbHoGe2Br8 structure (PBE-GGA, the Alexandria database).

```
12
Lattice="-1.721 5.666 4.373 -3.622 -3.547 4.372 8.142 -1.120 5.395" Properties=species:S:1:pos:R:3 pbc="T T T"
Br -3.814 1.128 6.549
Br 6.613 -0.128 7.592
Br 3.153 0.526 5.923
Br 4.348 2.943 8.908
Br -0.353 0.474 8.217
Br -0.726 3.701 6.135
Br -1.548 -1.943 5.233
Br 3.526 -2.702 8.006
Ge -1.275 0.974 6.013
Ge 4.075 0.025 8.127
Rb 4.071 -0.560 2.697
Ho 0.000 0.000 0.000
```

- formation energy (no corrections) (eV per atom) = -1.1659
- space-group type = No. 2
- DOS(E_F) (states/eV/cell) = 0.00

---

[6]
# Ti2CuRh

A geometry-optimized Ti2CuRh structure (PBE-GGA, the Alexandria database).

```
4
Lattice="3.539 0.000 0.000 0.000 4.075 0.000 0.000 0.000 4.075" Properties=species:S:1:pos:R:3 pbc="T T T"
Cu 1.770 0.000 0.000
Rh 1.770 2.038 2.038
Ti 0.000 2.038 0.000
Ti 0.000 0.000 2.038
```

- space-group type = No. 123
- DOS(E_F) (states/eV/cell) = 4.75

---

[7]
# CdTe3As

A geometry-optimized CdTe3As structure (PBE-GGA, the Alexandria database).

```
5
Lattice="-1.105 2.927 -4.484 -2.594 -4.298 -2.166 -4.685 1.690 2.257" Properties=species:S:1:pos:R:3 pbc="T T T"
Cd -4.192 0.159 -2.197
Te -1.297 -2.149 -1.083
Te -2.342 0.845 1.129
Te -0.552 1.463 -2.242
As 0.000 0.000 0.000
```

- formation energy (no corrections) (eV per atom) = 0.3984
- space-group type = No. 221
- DOS(E_F) (states/eV/cell) = 4.16

---

[8]
# Ce2MgZn2

A geometry-optimized Ce2MgZn2 structure (PBE-GGA, the Alexandria database).

```
5
Lattice="4.439 0.372 0.000 -1.562 4.172 0.001 -0.001 -0.001 6.409" Properties=species:S:1:pos:R:3 pbc="T T T"
Zn 3.434 1.008 3.205
Zn -0.557 3.535 3.205
Ce 1.439 2.272 1.393
Ce 1.438 2.271 5.017
Mg 0.000 0.000 0.000
```

- space-group type = No. 65
- DOS(E_F) (states/eV/cell) = 9.43

---

[9]
# VCrCd2Hg

A geometry-optimized VCrCd2Hg structure (PBE-GGA, the Alexandria database).

```
5
Lattice="-0.290 2.120 -4.777 2.722 -4.023 -1.951 -4.391 -2.552 -0.865" Properties=species:S:1:pos:R:3 pbc="T T T"
Cd -0.145 1.060 -2.388
Cd 1.361 -2.011 -0.975
Cr -2.196 -1.276 -0.433
Hg 0.000 0.000 0.000
V -0.980 -2.227 -3.797
```

- space-group type = No. 123
- DOS(E_F) (states/eV/cell) = 11.47

---

[10]
# ZrBe2Cd

A geometry-optimized ZrBe2Cd structure (PBE-GGA, the Alexandria database).

```
8
Lattice="4.190 0.000 0.000 0.000 4.190 0.000 2.095 2.095 8.056" Properties=species:S:1:pos:R:3 pbc="T T T"
Be 3.143 2.092 6.042
Be 5.238 2.099 6.042
Be 4.187 3.143 2.014
Be 4.194 1.048 2.014
Cd 0.000 0.000 0.000
Cd 4.190 2.095 4.028
Zr 2.095 2.095 0.000
Zr 2.095 4.190 4.028
```

- space-group type = No. 141
- DOS(E_F) (states/eV/cell) = 2.59

---

[11]
# AlFe2Ir

A geometry-optimized AlFe2Ir structure (PBE-GGA, the Alexandria database).

```
4
Lattice="4.564 0.008 0.000 -1.694 4.238 0.000 0.000 0.000 2.685" Properties=species:S:1:pos:R:3 pbc="T T T"
Fe 0.000 0.000 0.000
Fe 1.435 2.123 0.000
Al -0.847 2.119 1.343
Ir 2.282 0.004 1.343
```

- space-group type = No. 65
- DOS(E_F) (states/eV/cell) = 3.93

---

[12]
# NdBiAu6

A geometry-optimized NdBiAu6 structure (PBE-GGA, the Alexandria database).

```
8
Lattice="5.587 0.000 0.000 0.000 5.587 0.000 0.000 0.000 5.587" Properties=species:S:1:pos:R:3 pbc="T T T"
Bi 0.000 0.000 0.000
Au 1.404 0.000 2.794
Au 0.000 2.794 1.404
Au 4.183 0.000 2.794
Au 2.794 4.183 0.000
Au 0.000 2.794 4.183
Au 2.794 1.404 0.000
Nd 2.794 2.794 2.794
```

- space-group type = No. 200
- DOS(E_F) (states/eV/cell) = 1.69

---

Across the entries above, size of the total moment takes the values 0.00 0.00 0.00 2.34 0.00 0.00 0.00 1.92 3.74 0.00 4.62 0.00 μB per formula unit, respectively.
Across the entries above, total DFT energy (no corrections) takes the values -4.577 -1.241 -4.922 -6.792 -3.513 -7.206 -2.600 -3.112 -2.559 -3.701 -7.607 -3.810 eV/atom, respectively.